Entry from the Alexandria database: a relaxed structure of KMn3Ge (GGA-PBE).

abc: 4.9192 4.9192 4.9192
angles: 90.00 90.00 90.00
Fractional positions:
K: 0.0000 0.0000 0.0000
Mn: 0.0000 0.5000 0.5000
Mn: 0.5000 0.0000 0.5000
Mn: 0.5000 0.5000 0.0000
Ge: 0.5000 0.5000 0.5000

- energy of formation from the pure elements (eV/atom) = 0.776
- D(E_F) (states/eV/atom) = 1.2396

=====

Entry from the Alexandria database: a relaxed structure of Na5In2Pb4 (GGA-PBE).

abc: 7.5603 17.4089 4.9902
angles: 90.00 90.00 90.00
Fractional positions:
Na: 0.0000 0.0000 0.0000
Na: 0.1081 0.4147 0.0000
Na: 0.2026 0.1977 0.0000
Na: 0.2974 0.6977 0.0000
Na: 0.3919 0.9147 0.0000
Na: 0.5000 0.5000 0.0000
Na: 0.6081 0.0853 0.0000
Na: 0.7026 0.3023 0.0000
Na: 0.7974 0.8023 0.0000
Na: 0.8919 0.5853 0.0000
In: 0.0136 0.3009 0.5000
In: 0.4864 0.8009 0.5000
In: 0.5136 0.1991 0.5000
In: 0.9864 0.6991 0.5000
Pb: 0.0951 0.8665 0.5000
Pb: 0.2002 0.5493 0.5000
Pb: 0.2998 0.0493 0.5000
Pb: 0.4049 0.3665 0.5000
Pb: 0.5951 0.6335 0.5000
Pb: 0.7002 0.9507 0.5000
Pb: 0.7998 0.4507 0.5000
Pb: 0.9049 0.1335 0.5000

- energy of formation from the pure elements (eV/atom) = -0.094
- D(E_F) (states/eV/atom) = 0.4263

=====

Entry from the Alexandria database: a relaxed structure of Ba3Ga4Cu (GGA-PBE).

abc: 6.0791 12.5209 6.2728
angles: 90.00 90.00 90.00
Fractional positions:
Ba: 0.2500 0.0070 0.1908
Ba: 0.2500 0.4930 0.1908
Ba: 0.2500 0.7500 0.5333
Ba: 0.7500 0.2500 0.4667
Ba: 0.7500 0.5070 0.8092
Ba: 0.7500 0.9930 0.8092
Ga: 0.0131 0.2500 0.9785
Ga: 0.2500 0.1389 0.6808
Ga: 0.2500 0.3611 0.6808
Ga: 0.4869 0.2500 0.9785
Ga: 0.5131 0.7500 0.0215
Ga: 0.7500 0.6389 0.3192
Ga: 0.7500 0.8611 0.3192
Ga: 0.9869 0.7500 0.0215
Cu: 0.2500 0.2500 0.3251
Cu: 0.7500 0.7500 0.6749

- energy of formation from the pure elements (eV/atom) = -0.340
- D(E_F) (states/eV/atom) = 0.4215

=====

Entry from the Alexandria database: a relaxed structure of Ce4Ge12Pt (GGA-PBE).

abc: 7.6217 7.6217 7.6217
angles: 109.47 109.47 109.47
Fractional positions:
Ce: 0.0000 0.0000 0.5000
Ce: 0.0000 0.5000 0.0000
Ce: 0.5000 0.0000 0.0000
Ce: 0.5000 0.5000 0.5000
Ge: 0.0000 0.2950 0.2950
Ge: 0.0000 0.7050 0.7050
Ge: 0.2500 0.5000 0.7500
Ge: 0.2500 0.7500 0.5000
Ge: 0.2950 0.0000 0.2950
Ge: 0.2950 0.2950 0.0000
Ge: 0.5000 0.2500 0.7500
Ge: 0.5000 0.7500 0.2500
Ge: 0.7050 0.0000 0.7050
Ge: 0.7050 0.7050 0.0000
Ge: 0.7500 0.2500 0.5000
Ge: 0.7500 0.5000 0.2500
Pt: 0.0000 0.0000 0.0000

- energy of formation from the pure elements (eV/atom) = -0.502
- D(E_F) (states/eV/atom) = 1.2976

=====

Entry from the Alexandria database: a relaxed structure of Ac2In3Hg3 (GGA-PBE).

abc: 4.6840 4.9511 10.1926
angles: 90.00 90.00 90.00
Fractional positions:
Ac: 0.0000 0.0000 0.2460
Ac: 0.0000 0.0000 0.7540
In: 0.0000 0.5000 0.0000
In: 0.0000 0.5000 0.5000
In: 0.5000 0.0000 0.5000
Hg: 0.5000 0.0000 0.0000
Hg: 0.5000 0.5000 0.2810
Hg: 0.5000 0.5000 0.7190

- energy of formation from the pure elements (eV/atom) = -0.362
- D(E_F) (states/eV/atom) = 0.6074

=====

Entry from the Alexandria database: a relaxed structure of SrSc4Ag5 (GGA-PBE).

abc: 3.5027 3.5027 17.8127
angles: 90.00 90.00 90.00
Fractional positions:
Sr: 0.0000 0.0000 0.0000
Sc: 0.0000 0.0000 0.2153
Sc: 0.0000 0.0000 0.4057
Sc: 0.0000 0.0000 0.5943
Sc: 0.0000 0.0000 0.7847
Ag: 0.5000 0.5000 0.1290
Ag: 0.5000 0.5000 0.3104
Ag: 0.5000 0.5000 0.5000
Ag: 0.5000 0.5000 0.6896
Ag: 0.5000 0.5000 0.8710

- energy of formation from the pure elements (eV/atom) = -0.247
- D(E_F) (states/eV/atom) = 0.7362

=====

Entry from the Alexandria database: a relaxed structure of YN2OF (GGA-PBE).

abc: 3.5349 3.5349 4.2691
angles: 90.00 90.00 90.00
Fractional positions:
Y: 0.0000 0.0000 0.0000
N: 0.0000 0.5000 0.5000
N: 0.5000 0.0000 0.5000
O: 0.5000 0.5000 0.5000
F: 0.5000 0.5000 0.0000

- raw formation energy (eV per atom) = 0.15
- D(E_F) (states/eV/atom) = 0.3534

=====

Entry from the Alexandria database: a relaxed structure of FeHg2Ru (GGA-PBE).

abc: 4.0779 4.0779 8.2891
angles: 90.00 90.00 90.00
Fractional positions:
Fe: 0.0000 0.0000 0.0000
Fe: 0.5000 0.5000 0.5000
Hg: 0.0000 0.5000 0.2500
Hg: 0.0000 0.5000 0.7500
Hg: 0.5000 0.0000 0.2500
Hg: 0.5000 0.0000 0.7500
Ru: 0.0000 0.0000 0.5000
Ru: 0.5000 0.5000 0.0000

- energy of formation from the pure elements (eV/atom) = 0.537
- D(E_F) (states/eV/atom) = 0.5488

=====

Entry from the Alexandria database: a relaxed structure of Sc3NbBr (GGA-PBE).

abc: 5.2238 5.2238 5.2238
angles: 90.00 90.00 90.00
Fractional positions:
Sc: 0.0000 0.0000 0.5000
Sc: 0.0000 0.5000 0.0000
Sc: 0.5000 0.0000 0.0000
Nb: 0.0000 0.0000 0.0000
Br: 0.5000 0.5000 0.5000

- raw formation energy (eV per atom) = 0.52
- D(E_F) (states/eV/atom) = 2.2547

=====

Entry from the Alexandria database: a relaxed structure of GaNiIrC (GGA-PBE).

abc: 4.0085 2.9843 9.6543
angles: 90.00 90.00 90.00
Fractional positions:
Ga: 0.0000 0.0000 0.0000
Ga: 0.0000 0.5000 0.5000
Ni: 0.5000 0.0000 0.1478
Ni: 0.5000 0.5000 0.6478
Ir: 0.5000 0.0000 0.4034
Ir: 0.5000 0.5000 0.9034
C: 0.5000 0.0000 0.7691
C: 0.5000 0.5000 0.2691

- energy of formation from the pure elements (eV/atom) = 0.228
- D(E_F) (states/eV/atom) = 0.4525

=====

Entry from the Alexandria database: a relaxed structure of TlAgSnCl4 (GGA-PBE).

abc: 7.2750 7.7913 8.6125
angles: 90.00 108.42 90.00
Fractional positions:
Tl: 0.2208 0.2500 0.0350
Tl: 0.7792 0.7500 0.9650
Ag: 0.2408 0.7500 0.3049
Ag: 0.7592 0.2500 0.6951
Sn: 0.1915 0.2500 0.5184
Sn: 0.8085 0.7500 0.4816
Cl: 0.0148 0.0119 0.2742
Cl: 0.0148 0.4881 0.2742
Cl: 0.4816 0.2500 0.4019
Cl: 0.4930 0.2500 0.8299
Cl: 0.5070 0.7500 0.1701
Cl: 0.5184 0.7500 0.5981
Cl: 0.9852 0.5119 0.7258
Cl: 0.9852 0.9881 0.7258

- raw formation energy (eV per atom) = -0.82
- D(E_F) (states/eV/atom) = 0.0000

=====

Entry from the Alexandria database: a relaxed structure of GeBiPt3 (GGA-PBE).

abc: 5.0768 5.0768 5.0768
angles: 90.00 90.00 90.00
Fractional positions:
Ge: 0.0000 0.0000 0.0000
Bi: 0.5000 0.5000 0.5000
Pt: 0.0000 0.5000 0.5000
Pt: 0.5000 0.0000 0.5000
Pt: 0.5000 0.5000 0.0000

- energy of formation from the pure elements (eV/atom) = 1.043
- D(E_F) (states/eV/atom) = 0.6657

=====

Entry from the Alexandria database: a relaxed structure of RbTcTeI2 (GGA-PBE).

abc: 5.9007 5.9007 5.1020
angles: 90.00 90.00 90.00
Fractional positions:
Rb: 0.0000 0.0000 0.0000
Tc: 0.5000 0.5000 0.5000
Te: 0.5000 0.5000 0.0000
I: 0.0000 0.5000 0.5000
I: 0.5000 0.0000 0.5000

- raw formation energy (eV per atom) = -0.23
- D(E_F) (states/eV/atom) = 0.6869

=====

Entry from the Alexandria database: a relaxed structure of ReTe2Au (GGA-PBE).

abc: 3.2382 3.2382 8.0922
angles: 90.00 90.00 90.00
Fractional positions:
Re: 0.0000 0.0000 0.0000
Te: 0.5000 0.5000 0.2113
Te: 0.5000 0.5000 0.7887
Au: 0.0000 0.0000 0.5000

- raw formation energy (eV per atom) = 0.46
- D(E_F) (states/eV/atom) = 0.6140

=====

Entry from the Alexandria database: a relaxed structure of EuPuNiPt (GGA-PBE).

abc: 6.9927 6.9927 6.9927
angles: 90.00 90.00 90.00
Fractional positions:
Eu: 0.0000 0.0000 0.0000
Eu: 0.0000 0.5000 0.5000
Eu: 0.5000 0.0000 0.5000
Eu: 0.5000 0.5000 0.0000
Pu: 0.0000 0.0000 0.5000
Pu: 0.0000 0.5000 0.0000
Pu: 0.5000 0.0000 0.0000
Pu: 0.5000 0.5000 0.5000
Ni: 0.2500 0.2500 0.2500
Ni: 0.2500 0.7500 0.7500
Ni: 0.7500 0.2500 0.7500
Ni: 0.7500 0.7500 0.2500
Pt: 0.2500 0.2500 0.7500
Pt: 0.2500 0.7500 0.2500
Pt: 0.7500 0.2500 0.2500
Pt: 0.7500 0.7500 0.7500

- energy of formation from the pure elements (eV/atom) = -0.393
- D(E_F) (states/eV/atom) = 4.0450

=====

Entry from the Alexandria database: a relaxed structure of MnTlInBr6 (GGA-PBE).

abc: 7.0301 7.0301 14.7114
angles: 90.00 90.00 120.00
Fractional positions:
Mn: 0.3333 0.6667 0.2500
Mn: 0.6667 0.3333 0.7500
Tl: 0.0000 0.0000 0.0000
Tl: 0.0000 0.0000 0.5000
In: 0.3333 0.6667 0.7500
In: 0.6667 0.3333 0.2500
Br: 0.0030 0.3732 0.1441
Br: 0.0030 0.6298 0.3559
Br: 0.3702 0.3732 0.3559
Br: 0.3702 0.9970 0.1441
Br: 0.3732 0.0030 0.6441
Br: 0.3732 0.3702 0.8559
Br: 0.6268 0.6298 0.1441
Br: 0.6268 0.9970 0.3559
Br: 0.6298 0.0030 0.8559
Br: 0.6298 0.6268 0.6441
Br: 0.9970 0.3702 0.6441
Br: 0.9970 0.6268 0.8559

- raw formation energy (eV per atom) = -0.82

=====

Entry from the Alexandria database: a relaxed structure of Re3AuC (GGA-PBE).

abc: 4.1132 4.1132 4.1132
angles: 90.00 90.00 90.00
Fractional positions:
Re: 0.0000 0.0000 0.5000
Re: 0.0000 0.5000 0.0000
Re: 0.5000 0.0000 0.0000
Au: 0.5000 0.5000 0.5000
C: 0.0000 0.0000 0.0000

- energy of formation from the pure elements (eV/atom) = 0.476
- D(E_F) (states/eV/atom) = 0.3805

=====

Entry from the Alexandria database: a relaxed structure of ZnIn2Pb2 (GGA-PBE).

abc: 7.2419 7.2419 5.3035
angles: 90.00 90.00 90.00
Fractional positions:
Zn: 0.0000 0.0000 0.0000
Zn: 0.5000 0.5000 0.0000
In: 0.1452 0.3548 0.0000
In: 0.3548 0.8548 0.0000
In: 0.6452 0.1452 0.0000
In: 0.8548 0.6452 0.0000
Pb: 0.1731 0.6731 0.5000
Pb: 0.3269 0.1731 0.5000
Pb: 0.6731 0.8269 0.5000
Pb: 0.8269 0.3269 0.5000

- energy of formation from the pure elements (eV/atom) = 0.114
- D(E_F) (states/eV/atom) = 0.4116

=====

Entry from the Alexandria database: a relaxed structure of InTcOs2 (GGA-PBE).

abc: 3.9007 3.9007 8.2454
angles: 90.00 90.00 90.00
Fractional positions:
In: 0.0000 0.0000 0.0000
In: 0.5000 0.5000 0.5000
Tc: 0.0000 0.5000 0.2500
Tc: 0.5000 0.0000 0.7500
Os: 0.0000 0.0000 0.5000
Os: 0.0000 0.5000 0.7500
Os: 0.5000 0.0000 0.2500
Os: 0.5000 0.5000 0.0000

- energy of formation from the pure elements (eV/atom) = 0.504
- D(E_F) (states/eV/atom) = 1.4134

=====

Entry from the Alexandria database: a relaxed structure of Zr2Be9Fe (GGA-PBE).

abc: 7.7147 7.7147 7.7147
angles: 34.28 34.28 34.28
Fractional positions:
Zr: 0.1411 0.1411 0.1411
Zr: 0.8589 0.8589 0.8589
Be: 0.0790 0.5761 0.5761
Be: 0.3341 0.3341 0.3341
Be: 0.4239 0.4239 0.9210
Be: 0.4239 0.9210 0.4239
Be: 0.5000 0.5000 0.5000
Be: 0.5761 0.0790 0.5761
Be: 0.5761 0.5761 0.0790
Be: 0.6659 0.6659 0.6659
Be: 0.9210 0.4239 0.4239
Fe: 0.0000 0.0000 0.0000

- energy of formation from the pure elements (eV/atom) = -0.001
- D(E_F) (states/eV/atom) = 0.5231